DFT (PBE) results for a relaxed LiRu3 crystal.

Cell lengths 2.836, 2.836, 6.462 Å; angles 90.00, 90.00, 90.00 degrees
Atoms (fractional coordinates):
Li1 0.000 0.000 0.000
Ru1 0.000 0.000 0.500
Ru2 0.500 0.500 0.232
Ru3 0.500 0.500 0.768

## Properties
formation energy	0.28	eV per atom
magnetization	0.0	μB/cell
calculated total energy	-7.16	eV/atom

---

DFT (PBE) results for a relaxed Pr2As4Pt3Au crystal.

Cell lengths 4.553, 4.553, 9.859 Å; angles 90.00, 90.00, 90.00 degrees
Atoms (fractional coordinates):
Pr1 0.000 0.500 0.247
Pr2 0.500 0.000 0.753
As1 0.000 0.000 0.000
As2 0.000 0.500 0.634
As3 0.500 0.000 0.366
As4 0.500 0.500 0.000
Pt1 0.000 0.500 0.885
Pt2 0.500 0.000 0.115
Pt3 0.500 0.500 0.500
Au1 0.000 0.000 0.500

## Properties
formation energy	-0.81	eV per atom
magnetization	0.0	μB/cell
calculated total energy	-5.76	eV/atom

---

DFT (PBE) results for a relaxed NaTe2RhO6 crystal.

Cell lengths 6.425, 6.425, 6.425 Å; angles 50.74, 50.74, 50.74 degrees
Atoms (fractional coordinates):
Na1 0.000 0.000 0.000
Te1 0.275 0.275 0.275
Te2 0.725 0.725 0.725
Rh1 0.500 0.500 0.500
O1 0.110 0.451 0.728
O2 0.272 0.890 0.549
O3 0.451 0.728 0.110
O4 0.549 0.272 0.890
O5 0.728 0.110 0.451
O6 0.890 0.549 0.272

## Properties
magnetization	0.0	μB/cell
calculated total energy	-5.38	eV/atom

---

DFT (PBE) results for a relaxed SiS crystal.

Cell lengths 4.188, 3.484, 6.381 Å; angles 90.00, 106.78, 90.00 degrees
Atoms (fractional coordinates):
Si1 0.223 0.250 0.057
Si2 0.777 0.750 0.943
S1 0.408 0.250 0.764
S2 0.592 0.750 0.236

## Properties
magnetization	0.0	μB/cell
calculated total energy	-5.02	eV/atom

---

The lowest calculated total energy belongs to which entry?
LiRu3

---

What did the first record say?
DFT (PBE) results for a relaxed LiRu3 crystal.

Cell lengths 2.836, 2.836, 6.462 Å; angles 90.00, 90.00, 90.00 degrees
Atoms (fractional coordinates):
Li1 0.000 0.000 0.000
Ru1 0.000 0.000 0.500
Ru2 0.500 0.500 0.232
Ru3 0.500 0.500 0.768

## Properties
formation energy	0.28	eV per atom
magnetization	0.0	μB/cell
calculated total energy	-7.16	eV/atom